The following is a DFT calculation (PBE) of a relaxed structure of InSeCl2.

Computed properties:
**Offset from the most stable computed form**: 0.7126 eV/atom
**Formation energy from raw total energies**: 0.054 eV/atom
**E**: -2.42 eV/atom
**Symmetry**: I4/mmm, No. 139

```
4
Lattice="-3.065 -2.302 3.923 -3.311 -3.760 -2.232 5.408 0.817 -0.410" Properties=species:S:1:pos:R:3 pbc="T T T"
In -0.545 -2.987 -0.898
Se -0.422 -2.258 2.179
Cl 0.000 0.000 0.000
Cl -3.188 -3.031 0.845
```